HoTm3H | PBE-GGA | optimized geometry

The space group is Pm-3m (No. 221) and the conventional cell measures 4.914, 4.914 and 4.914 Å, with angles of 90.00, 90.00 and 90.00 degrees. The inequivalent atoms are Ho at (0.000, 0.000, 0.000), Tm at (0.000, 0.500, 0.500) and H at (0.500, 0.500, 0.500).

The value obtained for the magnetic moment is 0.00 μB/f.u. As for the density of states at the Fermi level: 4.3 states/eV/cell. The volume comes out at 118.7 Å³ per cell. As for the uncorrected energy: -22.109 eV/f.u.